The following is a PBE-GGA calculation of GdGeRu after structural relaxation, from the Alexandria database.

a = 4.332 Å, b = 4.332 Å, c = 3.724 Å
α = 90.00°, β = 90.00°, γ = 120.00°
Fractional coordinates of all 3 atoms:
Gd 0.000 0.000 0.000
Ge 0.333 0.667 0.500
Ru 0.667 0.333 0.500

Computed properties:
Its volume is 61 Å³ per cell. The density comes out at 9.1 Mg/m³. As for the space group: P-6m2. Its energy of formation from the pure elements is -0.536 eV/atom.



The following is a PBE-GGA calculation of La2Pr5Er5 after structural relaxation, from the Alexandria database.

a = 8.160 Å, b = 8.160 Å, c = 11.535 Å
α = 115.34°, β = 115.34°, γ = 36.45°
Fractional coordinates of all 12 atoms:
La 0.082 0.082 0.252
La 0.918 0.918 0.748
Pr 0.000 0.000 0.500
Pr 0.165 0.165 0.999
Pr 0.248 0.248 0.747
Pr 0.752 0.752 0.253
Pr 0.835 0.835 0.001
Er 0.333 0.333 0.499
Er 0.417 0.417 0.251
Er 0.500 0.500 0.000
Er 0.583 0.583 0.749
Er 0.667 0.667 0.501

Computed properties:
Its volume is 407 Å³ per cell. The density comes out at 7.4 Mg/m³. As for the space group: C2/m. Its energy of formation from the pure elements is 0.023 eV/atom.



no.,energy (eV/atom)
1,-9.860
2,-4.691